VASP calculation (PBE) on RbPmSi2O6 after structural relaxation.

a = 7.360 Å, b = 7.360 Å, c = 5.487 Å
α = 97.69°, β = 97.69°, γ = 88.49°
Element x y z (fractional)
Rb 0.173 0.827 0.750
Rb 0.827 0.173 0.250
Pm 0.379 0.621 0.250
Pm 0.621 0.379 0.750
Si 0.142 0.303 0.792
Si 0.303 0.142 0.292
Si 0.697 0.858 0.708
Si 0.858 0.697 0.208
O 0.068 0.628 0.256
O 0.164 0.181 0.033
O 0.181 0.164 0.533
O 0.309 0.452 0.852
O 0.372 0.932 0.244
O 0.452 0.309 0.352
O 0.548 0.691 0.648
O 0.628 0.068 0.756
O 0.691 0.548 0.148
O 0.819 0.836 0.467
O 0.836 0.819 0.967
O 0.932 0.372 0.744

Results
Crystal system ... monoclinic
Formation energy (no corrections) ... -2840 meV/atom

---

VASP calculation (PBE) on Tl2FeOs after structural relaxation.

a = 3.026 Å, b = 3.070 Å, c = 8.758 Å
α = 90.00°, β = 99.70°, γ = 90.00°
Element x y z (fractional)
Tl 0.000 0.000 0.000
Tl 0.189 0.500 0.357
Fe 0.382 0.500 0.756
Os 0.813 0.000 0.614

Results
ΔH_f (0 K) ... 0.546 eV per atom
Crystal system ... monoclinic
ΔE to the lowest computed polymorph ... 0.0 kJ per mole of atoms

---

VASP calculation (PBE) on CsAlSb2Pb after structural relaxation.

a = 9.630 Å, b = 9.630 Å, c = 11.795 Å
α = 123.95°, β = 123.95°, γ = 26.97°
Element x y z (fractional)
Cs 0.191 0.191 0.137
Cs 0.809 0.809 0.863
Al 0.043 0.043 0.651
Al 0.957 0.957 0.349
Sb 0.142 0.142 0.546
Sb 0.417 0.417 0.193
Sb 0.583 0.583 0.807
Sb 0.858 0.858 0.454
Pb 0.380 0.380 0.643
Pb 0.620 0.620 0.357

Results
Crystal system ... monoclinic
Formation energy (no corrections) ... -225 meV/atom

---

VASP calculation (PBE) on TlP after structural relaxation.

a = 6.636 Å, b = 6.636 Å, c = 7.085 Å
α = 93.93°, β = 93.93°, γ = 28.70°
Element x y z (fractional)
Tl 0.000 0.000 0.000
Tl 0.300 0.300 0.251
Tl 0.573 0.573 0.500
P 0.266 0.266 0.720
P 0.690 0.690 0.905
P 0.883 0.883 0.631

Results
ΔH_f (0 K) ... 0.164 eV per atom
Crystal system ... monoclinic

---

VASP calculation (PBE) on CaYAl after structural relaxation.

a = 5.222 Å, b = 5.222 Å, c = 7.288 Å
α = 90.00°, β = 90.00°, γ = 90.00°
Element x y z (fractional)
Ca 0.250 0.750 0.000
Ca 0.750 0.250 0.000
Y 0.250 0.750 0.500
Y 0.750 0.250 0.500
Al 0.250 0.250 0.270
Al 0.750 0.750 0.730

Results
ΔH_f (0 K) ... -0.045 eV per atom
Crystal system ... tetragonal
ΔE to the lowest computed polymorph ... 19.8 kJ per mole of atoms

---

VASP calculation (PBE) on Ni5Sn6 after structural relaxation.

a = 6.187 Å, b = 6.187 Å, c = 7.068 Å
α = 96.08°, β = 96.08°, γ = 126.64°
Element x y z (fractional)
Ni 0.000 0.000 0.000
Ni 0.192 0.808 0.500
Ni 0.387 0.613 0.000
Ni 0.613 0.387 0.000
Ni 0.808 0.192 0.500
Sn 0.025 0.392 0.210
Sn 0.216 0.216 0.697
Sn 0.392 0.025 0.210
Sn 0.608 0.975 0.790
Sn 0.784 0.784 0.303
Sn 0.975 0.608 0.790

Results
ΔH_f (0 K) ... -0.045 eV per atom
Crystal system ... monoclinic

---

VASP calculation (PBE) on Zn8AgPd2 after structural relaxation.

a = 7.608 Å, b = 7.608 Å, c = 4.704 Å
α = 107.58°, β = 107.58°, γ = 124.87°
Element x y z (fractional)
Zn 0.098 0.376 0.737
Zn 0.196 0.804 0.000
Zn 0.376 0.098 0.737
Zn 0.492 0.492 0.246
Zn 0.508 0.508 0.754
Zn 0.624 0.902 0.263
Zn 0.804 0.196 0.000
Zn 0.902 0.624 0.263
Ag 0.000 0.000 0.000
Pd 0.318 0.682 0.500
Pd 0.682 0.318 0.500

Results
ΔH_f (0 K) ... -0.153 eV per atom
Crystal system ... monoclinic
ΔE to the lowest computed polymorph ... 7.7 kJ per mole of atoms

---

VASP calculation (PBE) on Ti7CoIr2 after structural relaxation.

a = 6.227 Å, b = 6.227 Å, c = 6.227 Å
α = 60.00°, β = 60.00°, γ = 60.00°
Element x y z (fractional)
Ti 0.000 0.000 0.000
Ti 0.254 0.254 0.746
Ti 0.254 0.746 0.254
Ti 0.254 0.746 0.746
Ti 0.746 0.254 0.254
Ti 0.746 0.254 0.746
Ti 0.746 0.746 0.254
Co 0.500 0.500 0.500
Ir 0.250 0.250 0.250
Ir 0.750 0.750 0.750

Results
ΔH_f (0 K) ... 0.564 eV per atom
Crystal system ... cubic

---

Taking the records one at a time from the top gives DOS(E_F) values of 0.00 3.27 0.36 1.50 4.89 6.13 3.39 14.55 states/eV per cell.
Taking the records one at a time from the top gives total DFT energy (no corrections) values of -0.549 -0.409 -0.260 -0.274 -0.302 -0.357 -0.168 -0.547 Ry per atom.